Entry 1:
This record from the Alexandria database describes crystalline Na3Tb3AsO8 at its relaxed geometry. The functional is GGA-PBE.

Structure (CIF):
```
data_Na3Tb3AsO8
_space_group_name_H-M_alt 'P 1'
_space_group_IT_number 1
_space_group_name_Hall 'P 1'
_cell_length_a 6.7369
_cell_length_b 6.7368
_cell_length_c 6.7979
_cell_angle_alpha 119.70
_cell_angle_beta 90.00
_cell_angle_gamma 120.00
loop_
_atom_site_label
_atom_site_type_symbol
_atom_site_fract_x
_atom_site_fract_y
_atom_site_fract_z
Tb1 Tb 0.5000 0.0000 0.5000
O1 O 0.2135 0.4269 0.6957
Na1 Na 0.0000 0.5000 0.0000
Tb2 Tb 0.5000 0.5000 0.5000
Na2 Na 0.0000 0.0000 0.0000
O2 O 0.7688 0.9822 0.6957
O3 O 0.2135 0.9823 0.6957
O4 O 0.2312 0.0178 0.3043
Tb3 Tb 0.0000 0.5000 0.5000
O5 O 0.7865 0.0177 0.3043
O6 O 0.7371 0.4741 0.7112
Na3 Na 0.5000 0.5000 0.0000
O7 O 0.7865 0.5731 0.3043
O8 O 0.2629 0.5259 0.2888
As1 As 0.0000 0.0000 0.5000
```

Properties
Energy, eV per atom: -6.56
V, Å³/atom: 14.61

---

Entry 2:
This record from the Alexandria database describes crystalline NaTbAsO4 at its relaxed geometry. The functional is GGA-PBE.

Structure (CIF):
```
data_NaTbAsO4
_space_group_name_H-M_alt 'P 1'
_space_group_IT_number 1
_space_group_name_Hall 'P 1'
_cell_length_a 6.4455
_cell_length_b 6.4777
_cell_length_c 6.4777
_cell_angle_alpha 63.16
_cell_angle_beta 60.16
_cell_angle_gamma 60.16
loop_
_atom_site_label
_atom_site_type_symbol
_atom_site_fract_x
_atom_site_fract_y
_atom_site_fract_z
As1 As 0.6250 0.6250 0.1250
Tb1 Tb 0.0000 0.0000 0.0000
O1 O 0.7547 0.2563 0.7563
O2 O 0.2453 0.7437 0.2437
Tb2 Tb 0.0000 0.5000 0.5000
Na1 Na 0.0000 0.0000 0.5000
O3 O 0.7673 0.7437 0.2437
O4 O 0.2327 0.2563 0.7563
O5 O 0.2581 0.2766 0.2072
O6 O 0.7419 0.2928 0.2234
As2 As 0.3750 0.3750 0.8750
O7 O 0.2581 0.7072 0.7766
Na2 Na 0.5000 0.0000 0.5000
O8 O 0.7419 0.7234 0.7928
```

Properties
Energy, eV per atom: -6.34
V, Å³/atom: 13.99

---

Entry 3:
This record from the Alexandria database describes crystalline Na2TbAsO4 at its relaxed geometry. The functional is GGA-PBE.

Structure (CIF):
```
data_Na2TbAsO4
_space_group_name_H-M_alt 'P 1'
_space_group_IT_number 1
_space_group_name_Hall 'P 1'
_cell_length_a 3.3629
_cell_length_b 5.7594
_cell_length_c 5.8814
_cell_angle_alpha 108.95
_cell_angle_beta 90.00
_cell_angle_gamma 90.00
loop_
_atom_site_label
_atom_site_type_symbol
_atom_site_fract_x
_atom_site_fract_y
_atom_site_fract_z
O1 O 0.0000 0.7464 0.2122
Tb1 Tb 0.5000 0.5000 0.0000
O2 O 0.5000 0.7674 0.7836
Na1 Na 0.5000 0.0000 0.5000
O3 O 0.5000 0.2326 0.2164
O4 O 0.0000 0.2536 0.7878
Na2 Na 0.0000 0.5000 0.5000
As1 As 0.0000 0.0000 0.0000
```

Properties
Energy, eV per atom: -5.93
V, Å³/atom: 13.47

---

Entry 4:
This record from the Alexandria database describes crystalline NaTc2AsO8 at its relaxed geometry. The functional is GGA-PBE.

Structure (CIF):
```
data_NaTc2AsO8
_space_group_name_H-M_alt 'P 1'
_space_group_IT_number 1
_space_group_name_Hall 'P 1'
_cell_length_a 5.1752
_cell_length_b 5.1752
_cell_length_c 8.9451
_cell_angle_alpha 73.19
_cell_angle_beta 73.19
_cell_angle_gamma 60.00
loop_
_atom_site_label
_atom_site_type_symbol
_atom_site_fract_x
_atom_site_fract_y
_atom_site_fract_z
O1 O 0.7491 0.4690 0.6641
O2 O 0.2509 0.8822 0.3359
O3 O 0.4690 0.1178 0.6641
O4 O 0.1178 0.7491 0.6641
O5 O 0.3158 0.3158 0.0525
O6 O 0.5310 0.2509 0.3359
Tc1 Tc 0.2466 0.2466 0.2602
As1 As 0.5000 0.5000 0.5000
Tc2 Tc 0.7534 0.7534 0.7398
O7 O 0.8822 0.5310 0.3359
O8 O 0.6842 0.6842 0.9475
Na1 Na 0.0000 0.0000 0.0000
```

Properties
Energy, eV per atom: -6.71
V, Å³/atom: 16.30

---

Entry 5:
This record from the Alexandria database describes crystalline NaTcAsO5 at its relaxed geometry. The functional is GGA-PBE.

Structure (CIF):
```
data_NaTcAsO5
_space_group_name_H-M_alt 'P 1'
_space_group_IT_number 1
_space_group_name_Hall 'P 1'
_cell_length_a 5.6481
_cell_length_b 5.6481
_cell_length_c 7.3332
_cell_angle_alpha 104.80
_cell_angle_beta 104.80
_cell_angle_gamma 104.86
loop_
_atom_site_label
_atom_site_type_symbol
_atom_site_fract_x
_atom_site_fract_y
_atom_site_fract_z
O1 O 0.9514 0.0486 0.7500
O2 O 0.7473 0.6236 0.4167
As1 As 0.6834 0.3166 0.2500
O3 O 0.6791 0.1054 0.3869
O4 O 0.0486 0.9514 0.2500
Tc1 Tc 0.0000 0.0000 0.5000
O5 O 0.1054 0.6791 0.8869
O6 O 0.3209 0.8946 0.6131
As2 As 0.3166 0.6834 0.7500
Na1 Na 0.6765 0.3235 0.7500
Tc2 Tc 0.0000 0.0000 0.0000
O7 O 0.6236 0.7473 0.9167
O8 O 0.8946 0.3209 0.1131
O9 O 0.2527 0.3764 0.5833
Na2 Na 0.3235 0.6765 0.2500
O10 O 0.3764 0.2527 0.0833
```

Properties
Energy, eV per atom: -6.56
V, Å³/atom: 12.83

---

Entry 6:
This record from the Alexandria database describes crystalline NaTeAsO6 at its relaxed geometry. The functional is GGA-PBE.

Structure (CIF):
```
data_NaTeAsO6
_space_group_name_H-M_alt 'P 1'
_space_group_IT_number 1
_space_group_name_Hall 'P 1'
_cell_length_a 5.0714
_cell_length_b 5.0714
_cell_length_c 10.5948
_cell_angle_alpha 90.00
_cell_angle_beta 90.00
_cell_angle_gamma 120.00
loop_
_atom_site_label
_atom_site_type_symbol
_atom_site_fract_x
_atom_site_fract_y
_atom_site_fract_z
Te1 Te 0.3333 0.6667 0.7500
O1 O 0.3835 0.0127 0.6484
O2 O 0.3835 0.3709 0.8516
O3 O 0.6165 0.9873 0.3516
O4 O 0.9873 0.6165 0.8516
O5 O 0.0127 0.6291 0.3516
O6 O 0.9873 0.3709 0.6484
Te2 Te 0.6667 0.3333 0.2500
Na1 Na 0.0000 0.0000 0.5000
O7 O 0.6291 0.6165 0.6484
O8 O 0.3709 0.3835 0.3516
Na2 Na 0.0000 0.0000 0.0000
O9 O 0.6291 0.0127 0.8516
As1 As 0.3333 0.6667 0.2500
As2 As 0.6667 0.3333 0.7500
O10 O 0.0127 0.3835 0.1484
O11 O 0.3709 0.9873 0.1484
O12 O 0.6165 0.6291 0.1484
```

Properties
Energy, eV per atom: -5.58
V, Å³/atom: 13.11

---

Entry 7:
This record from the Alexandria database describes crystalline NaTeAs2O8 at its relaxed geometry. The functional is GGA-PBE.

Structure (CIF):
```
data_NaTeAs2O8
_space_group_name_H-M_alt 'P 1'
_space_group_IT_number 1
_space_group_name_Hall 'P 1'
_cell_length_a 4.9937
_cell_length_b 4.9937
_cell_length_c 9.3041
_cell_angle_alpha 74.43
_cell_angle_beta 74.43
_cell_angle_gamma 60.00
loop_
_atom_site_label
_atom_site_type_symbol
_atom_site_fract_x
_atom_site_fract_y
_atom_site_fract_z
Na1 Na 0.0000 0.0000 0.0000
O1 O 0.8793 0.5292 0.3465
O2 O 0.2450 0.8793 0.3465
O3 O 0.6950 0.6950 0.9150
As1 As 0.7578 0.7578 0.7265
O4 O 0.1207 0.7550 0.6535
O5 O 0.5292 0.2450 0.3465
O6 O 0.7550 0.4708 0.6535
O7 O 0.4708 0.1207 0.6535
Te1 Te 0.5000 0.5000 0.5000
As2 As 0.2422 0.2422 0.2735
O8 O 0.3050 0.3050 0.0850
```

Properties
Energy, eV per atom: -5.49
V, Å³/atom: 15.92

---

Entry 8:
This record from the Alexandria database describes crystalline Na2TeAsO6 at its relaxed geometry. The functional is GGA-PBE.

Structure (CIF):
```
data_Na2TeAsO6
_space_group_name_H-M_alt 'P 1'
_space_group_IT_number 1
_space_group_name_Hall 'P 1'
_cell_length_a 5.0097
_cell_length_b 5.2508
_cell_length_c 5.2508
_cell_angle_alpha 90.00
_cell_angle_beta 90.00
_cell_angle_gamma 90.00
loop_
_atom_site_label
_atom_site_type_symbol
_atom_site_fract_x
_atom_site_fract_y
_atom_site_fract_z
O1 O 0.6953 0.2399 0.2399
O2 O 0.2345 0.0000 0.0000
O3 O 0.6953 0.2399 0.7601
Na1 Na 0.0297 0.0000 0.5000
O4 O 0.6953 0.7601 0.7601
Te1 Te 0.5849 0.5000 0.5000
O5 O 0.2148 0.5000 0.5000
Na2 Na 0.0297 0.5000 0.0000
As1 As 0.5720 0.0000 0.0000
O6 O 0.6953 0.7601 0.2399
```

Properties
Energy, eV per atom: -5.25
V, Å³/atom: 13.81

---

Record order is preserved below.
ΔE_f (raw): -2.416 -1.994 -1.957 -1.183 -1.419 -1.264 -1.041 -1.236 eV/atom